(1)
This record from Alexandria via LeMat-Bulk describes a geometry-optimized Ti2TcN structure. The functional is PBE.

Calculated values
formation energy (no corrections)	-1.2	eV/f.u.
VASP energy	-8.93	eV/atom
V	119.5	Å³ per cell

Unit cell a=5.4362 b=5.4362 c=5.4362 alpha=116.01 beta=116.01 gamma=97.06
Positions (direct):
Ti1 0.0417 0.6250 0.9167
Ti2 0.3750 0.2917 0.4167
Ti3 0.7083 0.1250 0.0833
Ti4 0.8750 0.9583 0.5833
Tc1 0.2500 0.7500 0.5000
Tc2 0.5000 0.5000 0.0000
N1 0.0000 0.0000 0.0000
N2 0.7500 0.2500 0.5000

(2)
This record from Alexandria via LeMat-Bulk describes a geometry-optimized CoW2Au structure. The functional is PBE.

Calculated values
energy relative to the lowest polymorph listed for this composition	18	meV per atom
VASP energy	-8.81	eV/atom
V	59.9	Å³ per cell
ΔE_f	1.0	eV/f.u.

Unit cell a=2.7483 b=2.7483 c=7.9345 alpha=90.00 beta=90.00 gamma=90.00
Positions (direct):
Co1 0.0000 0.0000 0.0000
W1 0.5000 0.5000 0.2205
W2 0.5000 0.5000 0.7795
Au1 0.0000 0.0000 0.5000

(3)
This record from Alexandria via LeMat-Bulk describes a geometry-optimized Li2HfScTe structure. The functional is PBE.

Calculated values
formation energy (no corrections)	3.2	eV/f.u.
VASP energy	-4.00	eV/atom
V	133.2	Å³ per cell

Unit cell a=5.0063 b=5.0063 c=5.3132 alpha=90.00 beta=90.00 gamma=90.00
Positions (direct):
Li1 0.0000 0.5000 0.0000
Li2 0.5000 0.0000 0.0000
Hf1 0.0000 0.0000 0.0000
Sc1 0.5000 0.5000 0.5000
Te1 0.0000 0.0000 0.5000

(4)
This record from Alexandria via LeMat-Bulk describes a geometry-optimized CaReAu structure. The functional is PBE.

Calculated values
energy relative to the lowest polymorph listed for this composition	128	meV per atom
VASP energy	-5.38	eV/atom
V	62.6	Å³ per cell
ΔE_f	1.6	eV/f.u.

Unit cell a=5.7677 b=5.7677 c=5.7677 alpha=151.74 beta=136.13 gamma=53.01
Positions (direct):
Ca1 0.0000 0.0000 0.0000
Re1 0.7090 0.7090 0.0000
Au1 0.2937 0.2937 0.0000

(5)
This record from Alexandria via LeMat-Bulk describes a geometry-optimized KTaAs2 structure. The functional is PBE.

Calculated values
energy relative to the lowest polymorph listed for this composition	964	meV per atom
VASP energy	-4.99	eV/atom
V	82.8	Å³ per cell
ΔE_f	2.3	eV/f.u.

Unit cell a=5.7796 b=5.7796 c=5.7796 alpha=138.85 beta=138.85 gamma=59.61
Positions (direct):
K1 0.0000 0.0000 0.0000
Ta1 0.2500 0.7500 0.5000
As1 0.5000 0.5000 0.0000
As2 0.7500 0.2500 0.5000

(6)
This record from Alexandria via LeMat-Bulk describes a geometry-optimized ErNi2Sb2 structure. The functional is PBE.

Calculated values
formation energy (no corrections)	-2.6	eV/f.u.
VASP energy	-5.40	eV/atom
V	194.3	Å³ per cell

Unit cell a=4.3792 b=4.3792 c=10.1309 alpha=90.00 beta=90.00 gamma=90.00
Positions (direct):
Er1 0.2500 0.2500 0.2288
Er2 0.7500 0.7500 0.7712
Ni1 0.2500 0.2500 0.6304
Ni2 0.2500 0.7500 0.0000
Ni3 0.7500 0.2500 0.0000
Ni4 0.7500 0.7500 0.3696
Sb1 0.2500 0.2500 0.8722
Sb2 0.2500 0.7500 0.5000
Sb3 0.7500 0.2500 0.5000
Sb4 0.7500 0.7500 0.1278

(7)
This record from Alexandria via LeMat-Bulk describes a geometry-optimized Ba2ZrP structure. The functional is PBE.

Calculated values
VASP energy	-4.16	eV/atom
V	121.5	Å³ per cell
ΔE_f	1.2	eV/f.u.

Unit cell a=6.2786 b=6.2786 c=6.2786 alpha=135.11 beta=135.11 gamma=65.36
Positions (direct):
Ba1 0.2500 0.7500 0.5000
Ba2 0.7500 0.2500 0.5000
Zr1 0.0000 0.0000 0.0000
P1 0.5000 0.5000 0.0000

(8)
This record from Alexandria via LeMat-Bulk describes a geometry-optimized MgMn2Cu structure. The functional is PBE.

Calculated values
VASP energy	-5.72	eV/atom
V	58.9	Å³ per cell
ΔE_f	1.2	eV/f.u.

Unit cell a=4.7562 b=4.7562 c=4.7127 alpha=102.33 beta=102.33 gamma=34.50
Positions (direct):
Mg1 0.0000 0.0000 0.0000
Mn1 0.2377 0.2377 0.7274
Mn2 0.4907 0.4907 0.4940
Cu1 0.7513 0.7513 0.2529